The following is a DFT calculation (PBE-GGA) of crystalline LiMo2Ir at its relaxed geometry.

Unit cell a=3.082 b=4.216 c=8.884 alpha=90.00 beta=90.00 gamma=90.00
Space group Immm (No. 71)
Inequivalent atoms, fractional coordinates:
Li  0.000  0.000  0.000
Mo  0.000  0.500  0.247
Ir  0.000  0.000  0.500

Results
Energy above the lowest structure with this stoichiometry   0 meV per atom
Uncorrected energy   -8.089 eV per atom
ΔE_f   0.02 eV/atom
Magnetic moment   0.0 μB/cell